No. 1
Compound: ErAsH
Source: the Alexandria database
Functional: PBE-GGA
Structure: optimized geometry

```
data_ErAsH
_chemical_formula_sum 'Er1 As1 H1'
_cell_length_a 3.6468
_cell_length_b 3.6468
_cell_length_c 4.2386
_cell_angle_alpha 90.00
_cell_angle_beta 90.00
_cell_angle_gamma 120.00
_space_group_name_H-M_alt 'P -6 m 2'
_space_group_IT_number 187
_space_group_name_Hall 'P -6 2'
loop_
_atom_site_label
_atom_site_type_symbol
_atom_site_fract_x
_atom_site_fract_y
_atom_site_fract_z
Er1 Er 0.0000 0.0000 0.0000
As1 As 0.6667 0.3333 0.5000
H1 H 0.3333 0.6667 0.0000
```

Results
Magnetic moment: 0.00 μB per atom
Electronic total energy: -4.98 eV per atom
Crystal system: hexagonal

***

No. 2
Compound: Rb3Na2TbF9
Source: the Alexandria database
Functional: PBE-GGA
Structure: optimized geometry

```
data_Rb3Na2TbF9
_chemical_formula_sum 'Rb3 Na2 Tb1 F9'
_cell_length_a 6.3029
_cell_length_b 6.3029
_cell_length_c 7.9766
_cell_angle_alpha 90.00
_cell_angle_beta 90.00
_cell_angle_gamma 120.00
_space_group_name_H-M_alt 'P -3 m 1'
_space_group_IT_number 164
_space_group_name_Hall '-P 3 2"'
loop_
_atom_site_label
_atom_site_type_symbol
_atom_site_fract_x
_atom_site_fract_y
_atom_site_fract_z
Rb1 Rb 0.0000 0.0000 0.0000
Rb2 Rb 0.3333 0.6667 0.6968
Na1 Na 0.3333 0.6667 0.1798
Tb1 Tb 0.0000 0.0000 0.5000
F1 F 0.0000 0.5000 0.0000
F2 F 0.1616 0.3233 0.3371
```

Results
Magnetic moment: 0.08 μB per atom
Electronic total energy: -4.74 eV per atom
Formation energy without anion corrections: -2.9345 eV per atom
Crystal system: trigonal

***

No. 3
Compound: LiSi2Cl
Source: the Alexandria database
Functional: PBE-GGA
Structure: optimized geometry

```
data_LiSi2Cl
_chemical_formula_sum 'Li3 Si6 Cl3'
_cell_length_a 2.9993
_cell_length_b 2.9993
_cell_length_c 25.6988
_cell_angle_alpha 90.00
_cell_angle_beta 90.00
_cell_angle_gamma 120.00
_space_group_name_H-M_alt 'R -3 m'
_space_group_IT_number 166
_space_group_name_Hall '-R 3 2"'
loop_
_atom_site_label
_atom_site_type_symbol
_atom_site_fract_x
_atom_site_fract_y
_atom_site_fract_z
Li1 Li 0.0000 0.0000 0.0000
Si1 Si 0.0000 0.0000 0.2512
Cl1 Cl 0.0000 0.0000 0.5000
```

Results
Magnetic moment: 0.00 μB per atom
Electronic total energy: -3.32 eV per atom
Formation energy without anion corrections: 0.3310 eV per atom
Crystal system: trigonal

***

No. 4
Compound: LiAcCdAg3
Source: the Alexandria database
Functional: PBE-GGA
Structure: optimized geometry

```
data_LiAcCdAg3
_chemical_formula_sum 'Li4 Ac4 Cd4 Ag12'
_cell_length_a 6.240
_cell_length_b 13.522
_cell_length_c 6.511
_cell_angle_alpha 90.00
_cell_angle_beta 90.00
_cell_angle_gamma 90.00
_space_group_name_H-M_alt 'C m c m'
_space_group_IT_number 63
_space_group_name_Hall '-C 2c 2'
loop_
_atom_site_label
_atom_site_type_symbol
_atom_site_fract_x
_atom_site_fract_y
_atom_site_fract_z
Li1 Li 0.000 0.071 0.250
Ac1 Ac 0.000 0.300 0.250
Cd1 Cd 0.000 0.356 0.750
Ag1 Ag 0.000 0.139 0.750
Ag2 Ag 0.230 0.500 0.000
```

Results
Magnetic moment: 0.00 μB per atom
Electronic total energy: -2.72 eV per atom
Crystal system: orthorhombic

***

No. 5
Compound: CrIrC3
Source: the Alexandria database
Functional: PBE-GGA
Structure: optimized geometry

```
data_CrIrC3
_chemical_formula_sum 'Cr1 Ir1 C3'
_cell_length_a 3.938
_cell_length_b 3.938
_cell_length_c 3.938
_cell_angle_alpha 90.00
_cell_angle_beta 90.00
_cell_angle_gamma 90.00
_space_group_name_H-M_alt 'P m -3 m'
_space_group_IT_number 221
_space_group_name_Hall '-P 4 2 3'
loop_
_atom_site_label
_atom_site_type_symbol
_atom_site_fract_x
_atom_site_fract_y
_atom_site_fract_z
Cr1 Cr 0.000 0.000 0.000
Ir1 Ir 0.500 0.500 0.500
C1 C 0.000 0.500 0.500
```

Results
Magnetic moment: 0.01 μB per atom
Electronic total energy: -6.76 eV per atom
Crystal system: cubic